Run a
Here is crystalline BPAuO at its relaxed geometry from OQMD via LeMat-Bulk. Energies are from GGA-PBE.

CIF file:
```
data_BPAuO
_chemical_formula_sum 'B2 P2 Au2 O2'
_cell_length_a 3.207
_cell_length_b 7.804
_cell_length_c 4.345
_cell_angle_alpha 90.00
_cell_angle_beta 90.00
_cell_angle_gamma 90.00
_symmetry_space_group_name_H-M 'P m c 21'
_symmetry_Int_Tables_number 26
loop_
_symmetry_equiv_pos_as_xyz
'x,y,z'
'-x,-y,z+1/2'
'-x,y,z'
'x,-y,z+1/2'
loop_
_atom_site_label
_atom_site_type_symbol
_atom_site_fract_x
_atom_site_fract_y
_atom_site_fract_z
B1 B 0.000 0.089 0.000
P1 P 0.500 0.255 0.933
Au1 Au 0.500 0.394 0.438
O1 O 0.000 0.056 0.317
```

=====

Run b
Here is crystalline BPAuO at its relaxed geometry from OQMD via LeMat-Bulk. Energies are from GGA-PBE.

CIF file:
```
data_BPAuO
_chemical_formula_sum 'B2 P2 Au2 O2'
_cell_length_a 4.131
_cell_length_b 4.131
_cell_length_c 6.056
_cell_angle_alpha 90.00
_cell_angle_beta 90.00
_cell_angle_gamma 90.00
_symmetry_space_group_name_H-M 'P 4/n m m'
_symmetry_Int_Tables_number 129
loop_
_symmetry_equiv_pos_as_xyz
'x,y,z'
'-x,-y,-z'
'-y+1/2,x,z'
'y+1/2,-x,-z'
'-x+1/2,-y+1/2,z'
'x+1/2,y+1/2,-z'
'y,-x+1/2,z'
'-y,x+1/2,-z'
'x+1/2,-y,-z'
'-x+1/2,y,z'
'-y,-x,-z'
'y,x,z'
'-x,y+1/2,-z'
'x,-y+1/2,z'
'y+1/2,x+1/2,-z'
'-y+1/2,-x+1/2,z'
loop_
_atom_site_label
_atom_site_type_symbol
_atom_site_fract_x
_atom_site_fract_y
_atom_site_fract_z
B1 B 0.250 0.750 0.000
P1 P 0.250 0.250 0.055
Au1 Au 0.250 0.250 0.611
O1 O 0.250 0.750 0.500
```

=====

Run c
Here is crystalline BPAuO at its relaxed geometry from OQMD via LeMat-Bulk. Energies are from GGA-PBE.

CIF file:
```
data_BPAuO
_chemical_formula_sum 'B2 P2 Au2 O2'
_cell_length_a 2.565
_cell_length_b 6.904
_cell_length_c 5.964
_cell_angle_alpha 90.00
_cell_angle_beta 90.00
_cell_angle_gamma 90.00
_symmetry_space_group_name_H-M 'P m c 21'
_symmetry_Int_Tables_number 26
loop_
_symmetry_equiv_pos_as_xyz
'x,y,z'
'-x,-y,z+1/2'
'-x,y,z'
'x,-y,z+1/2'
loop_
_atom_site_label
_atom_site_type_symbol
_atom_site_fract_x
_atom_site_fract_y
_atom_site_fract_z
B1 B 0.000 0.143 0.000
P1 P 0.000 0.120 0.343
Au1 Au 0.500 0.415 0.458
O1 O 0.500 0.236 0.938
```

=====

Run d
Here is crystalline BPAuO at its relaxed geometry from OQMD via LeMat-Bulk. Energies are from GGA-PBE.

CIF file:
```
data_BPAuO
_chemical_formula_sum 'B2 P2 Au2 O2'
_cell_length_a 3.709
_cell_length_b 3.709
_cell_length_c 8.207
_cell_angle_alpha 90.00
_cell_angle_beta 90.00
_cell_angle_gamma 90.00
_symmetry_space_group_name_H-M 'P 4/n m m'
_symmetry_Int_Tables_number 129
loop_
_symmetry_equiv_pos_as_xyz
'x,y,z'
'-x,-y,-z'
'-y+1/2,x,z'
'y+1/2,-x,-z'
'-x+1/2,-y+1/2,z'
'x+1/2,y+1/2,-z'
'y,-x+1/2,z'
'-y,x+1/2,-z'
'x+1/2,-y,-z'
'-x+1/2,y,z'
'-y,-x,-z'
'y,x,z'
'-x,y+1/2,-z'
'x,-y+1/2,z'
'y+1/2,x+1/2,-z'
'-y+1/2,-x+1/2,z'
loop_
_atom_site_label
_atom_site_type_symbol
_atom_site_fract_x
_atom_site_fract_y
_atom_site_fract_z
B1 B 0.250 0.250 0.061
P1 P 0.250 0.250 0.295
Au1 Au 0.250 0.750 0.500
O1 O 0.250 0.750 0.000
```

=====

Going by the energies, run a is most stable and the next is 16.5 kJ/mol of atoms up.

=====

Run a
# PmB4Au | OQMD via LeMat-Bulk | GGA-PBE | optimized geometry
# Total magnetization   0.003 μB per formula unit
data_PmB4Au
_chemical_formula_sum 'Pm2 B8 Au2'
_cell_length_a 3.202
_cell_length_b 5.312
_cell_length_c 8.462
_cell_angle_alpha 90.00
_cell_angle_beta 90.00
_cell_angle_gamma 90.00
_symmetry_space_group_name_H-M 'I m m m'
_symmetry_Int_Tables_number 71
_symmetry_space_group_name_Hall '-I 2 2'
loop_
_atom_site_label
_atom_site_type_symbol
_atom_site_fract_x
_atom_site_fract_y
_atom_site_fract_z
Pm1 Pm 0.000 0.000 0.000
B1 B 0.000 0.314 0.265
Au1 Au 0.000 0.000 0.500

=====

Run b
# PmB4Au | OQMD via LeMat-Bulk | GGA-PBE | optimized geometry
# Total magnetization   0.001 μB per formula unit
data_PmB4Au
_chemical_formula_sum 'Pm1 B4 Au1'
_cell_length_a 3.2560
_cell_length_b 3.2560
_cell_length_c 7.4592
_cell_angle_alpha 90.00
_cell_angle_beta 90.00
_cell_angle_gamma 120.00
_symmetry_space_group_name_H-M 'P 6/m m m'
_symmetry_Int_Tables_number 191
_symmetry_space_group_name_Hall '-P 6 2'
loop_
_atom_site_label
_atom_site_type_symbol
_atom_site_fract_x
_atom_site_fract_y
_atom_site_fract_z
Pm1 Pm 0.0000 0.0000 0.0000
B1 B 0.3333 0.6667 0.2637
Au1 Au 0.0000 0.0000 0.5000

=====

Going by the energies, run a is most stable and the next is 13.5 kJ/mol of atoms up.

=====

Run a
# PmBAu | OQMD via LeMat-Bulk | GGA-PBE | optimized geometry
# Total magnetization   0.132 μB per formula unit
data_PmBAu
_chemical_formula_sum 'Pm4 B4 Au4'
_cell_length_a 6.576
_cell_length_b 6.576
_cell_length_c 6.576
_cell_angle_alpha 90.00
_cell_angle_beta 90.00
_cell_angle_gamma 90.00
_symmetry_space_group_name_H-M 'F -4 3 m'
_symmetry_Int_Tables_number 216
_symmetry_space_group_name_Hall 'F -4 2 3'
loop_
_atom_site_label
_atom_site_type_symbol
_atom_site_fract_x
_atom_site_fract_y
_atom_site_fract_z
Pm1 Pm 0.000 0.000 0.000
B1 B 0.250 0.250 0.250
Au1 Au 0.250 0.250 0.750

=====

Run b
# PmBAu | OQMD via LeMat-Bulk | GGA-PBE | optimized geometry
# Total magnetization   0.016 μB per formula unit
data_PmBAu
_chemical_formula_sum 'Pm4 B4 Au4'
_cell_length_a 6.159
_cell_length_b 6.159
_cell_length_c 6.159
_cell_angle_alpha 90.00
_cell_angle_beta 90.00
_cell_angle_gamma 90.00
_symmetry_space_group_name_H-M 'F -4 3 m'
_symmetry_Int_Tables_number 216
_symmetry_space_group_name_Hall 'F -4 2 3'
loop_
_atom_site_label
_atom_site_type_symbol
_atom_site_fract_x
_atom_site_fract_y
_atom_site_fract_z
Pm1 Pm 0.000 0.000 0.000
B1 B 0.250 0.250 0.750
Au1 Au 0.000 0.000 0.500

=====

Going by the energies, run b is most stable and the next is 65.5 kJ/mol of atoms up.

=====

Run a
# SiBPtAu | OQMD via LeMat-Bulk | GGA-PBE | optimized geometry
# Total magnetization   0.001 μB per formula unit
data_SiBPtAu
_chemical_formula_sum 'Si4 B4 Pt4 Au4'
_cell_length_a 6.029
_cell_length_b 6.029
_cell_length_c 6.029
_cell_angle_alpha 90.00
_cell_angle_beta 90.00
_cell_angle_gamma 90.00
_symmetry_space_group_name_H-M 'F -4 3 m'
_symmetry_Int_Tables_number 216
_symmetry_space_group_name_Hall 'F -4 2 3'
loop_
_atom_site_label
_atom_site_type_symbol
_atom_site_fract_x
_atom_site_fract_y
_atom_site_fract_z
Si1 Si 0.000 0.000 0.000
B1 B 0.000 0.000 0.500
Pt1 Pt 0.250 0.250 0.750
Au1 Au 0.250 0.250 0.250

=====

Run b
# SiBPtAu | OQMD via LeMat-Bulk | GGA-PBE | optimized geometry
# Total magnetization   0.001 μB per formula unit
data_SiBPtAu
_chemical_formula_sum 'Si4 B4 Pt4 Au4'
_cell_length_a 6.169
_cell_length_b 6.169
_cell_length_c 6.169
_cell_angle_alpha 90.00
_cell_angle_beta 90.00
_cell_angle_gamma 90.00
_symmetry_space_group_name_H-M 'F -4 3 m'
_symmetry_Int_Tables_number 216
_symmetry_space_group_name_Hall 'F -4 2 3'
loop_
_atom_site_label
_atom_site_type_symbol
_atom_site_fract_x
_atom_site_fract_y
_atom_site_fract_z
Si1 Si 0.000 0.000 0.000
B1 B 0.250 0.250 0.250
Pt1 Pt 0.250 0.250 0.750
Au1 Au 0.000 0.000 0.500

=====

Going by the energies, run a is most stable and the next is 22.2 kJ/mol of atoms up.

=====

Run a
# ZrBPtAu | OQMD via LeMat-Bulk | GGA-PBE | optimized geometry
# Total magnetization   0.000 μB per formula unit
data_ZrBPtAu
_chemical_formula_sum 'Zr4 B4 Pt4 Au4'
_cell_length_a 6.375
_cell_length_b 6.375
_cell_length_c 6.375
_cell_angle_alpha 90.00
_cell_angle_beta 90.00
_cell_angle_gamma 90.00
_symmetry_space_group_name_H-M 'F -4 3 m'
_symmetry_Int_Tables_number 216
_symmetry_space_group_name_Hall 'F -4 2 3'
loop_
_atom_site_label
_atom_site_type_symbol
_atom_site_fract_x
_atom_site_fract_y
_atom_site_fract_z
Zr1 Zr 0.000 0.000 0.000
B1 B 0.000 0.000 0.500
Pt1 Pt 0.250 0.250 0.750
Au1 Au 0.250 0.250 0.250

=====

Run b
# ZrBPtAu | OQMD via LeMat-Bulk | GGA-PBE | optimized geometry
# Total magnetization   0.000 μB per formula unit
data_ZrBPtAu
_chemical_formula_sum 'Zr4 B4 Pt4 Au4'
_cell_length_a 6.314
_cell_length_b 6.314
_cell_length_c 6.314
_cell_angle_alpha 90.00
_cell_angle_beta 90.00
_cell_angle_gamma 90.00
_symmetry_space_group_name_H-M 'F -4 3 m'
_symmetry_Int_Tables_number 216
_symmetry_space_group_name_Hall 'F -4 2 3'
loop_
_atom_site_label
_atom_site_type_symbol
_atom_site_fract_x
_atom_site_fract_y
_atom_site_fract_z
Zr1 Zr 0.000 0.000 0.000
B1 B 0.250 0.250 0.750
Pt1 Pt 0.000 0.000 0.500
Au1 Au 0.250 0.250 0.250

=====

Run c
# ZrBPtAu | OQMD via LeMat-Bulk | GGA-PBE | optimized geometry
# Total magnetization   0.000 μB per formula unit
data_ZrBPtAu
_chemical_formula_sum 'Zr4 B4 Pt4 Au4'
_cell_length_a 6.344
_cell_length_b 6.344
_cell_length_c 6.344
_cell_angle_alpha 90.00
_cell_angle_beta 90.00
_cell_angle_gamma 90.00
_symmetry_space_group_name_H-M 'F -4 3 m'
_symmetry_Int_Tables_number 216
_symmetry_space_group_name_Hall 'F -4 2 3'
loop_
_atom_site_label
_atom_site_type_symbol
_atom_site_fract_x
_atom_site_fract_y
_atom_site_fract_z
Zr1 Zr 0.000 0.000 0.000
B1 B 0.250 0.250 0.250
Pt1 Pt 0.250 0.250 0.750
Au1 Au 0.000 0.000 0.500

=====

Going by the energies, run b is most stable and the next is 2.6 kJ/mol of atoms up.

=====

Run a
Here is crystalline RbTlBAu at its relaxed geometry from OQMD via LeMat-Bulk. Energies are from GGA-PBE.

CIF file:
```
data_RbTlBAu
_chemical_formula_sum 'Rb4 Tl4 B4 Au4'
_cell_length_a 7.378
_cell_length_b 7.378
_cell_length_c 7.378
_cell_angle_alpha 90.00
_cell_angle_beta 90.00
_cell_angle_gamma 90.00
_symmetry_space_group_name_H-M 'F -4 3 m'
_symmetry_Int_Tables_number 216
_symmetry_space_group_name_Hall 'F -4 2 3'
loop_
_atom_site_label
_atom_site_type_symbol
_atom_site_fract_x
_atom_site_fract_y
_atom_site_fract_z
Rb1 Rb 0.000 0.000 0.000
Tl1 Tl 0.250 0.250 0.250
B1 B 0.000 0.000 0.500
Au1 Au 0.250 0.250 0.750
```

=====

Run b
Here is crystalline RbTlBAu at its relaxed geometry from OQMD via LeMat-Bulk. Energies are from GGA-PBE.

CIF file:
```
data_RbTlBAu
_chemical_formula_sum 'Rb4 Tl4 B4 Au4'
_cell_length_a 7.394
_cell_length_b 7.394
_cell_length_c 7.394
_cell_angle_alpha 90.00
_cell_angle_beta 90.00
_cell_angle_gamma 90.00
_symmetry_space_group_name_H-M 'F -4 3 m'
_symmetry_Int_Tables_number 216
_symmetry_space_group_name_Hall 'F -4 2 3'
loop_
_atom_site_label
_atom_site_type_symbol
_atom_site_fract_x
_atom_site_fract_y
_atom_site_fract_z
Rb1 Rb 0.000 0.000 0.000
Tl1 Tl 0.000 0.000 0.500
B1 B 0.250 0.250 0.250
Au1 Au 0.250 0.250 0.750
```

=====

Going by the energies, run b is most stable and the next is 9.8 kJ/mol of atoms up.